LaGa2Sn PBE-GGA relaxed; DFT total energy = -4.251 eV per atom; SG = No. 62
1.0
-2.110 -0.018 4.386
1.841 -6.790 0.858
9.832 3.265 4.744
La Ga Sn
4 8 4
Direct
0.750 0.344 0.355
0.250 0.656 0.645
0.750 0.844 0.145
0.250 0.156 0.855
0.250 0.015 0.339
0.750 0.985 0.661
0.250 0.515 0.161
0.750 0.485 0.839
0.250 0.147 0.134
0.750 0.853 0.866
0.250 0.647 0.366
0.750 0.353 0.634
0.750 0.332 0.066
0.250 0.668 0.934
0.750 0.832 0.434
0.250 0.168 0.566

***

La4GaSn PBE-GGA relaxed; DFT total energy = -4.875 eV per atom; offset from the most stable computed form = 1.3 kJ per mole of atoms; SG = No. 12
1.0
-0.627 4.107 2.280
0.051 -0.985 4.635
8.443 2.960 3.969
La Ga Sn
4 1 1
Direct
0.532 0.532 0.164
0.468 0.468 0.836
0.057 0.057 0.640
0.943 0.943 0.360
0.500 0.500 0.500
0.000 0.000 0.000

***

La3GaSn2 PBE-GGA relaxed; DFT total energy = -5.018 eV per atom; SG = No. 62
1.0
-0.962 -0.028 4.481
12.234 -1.019 2.619
1.010 12.899 0.298
La Ga Sn
12 4 8
Direct
0.250 0.380 0.053
0.750 0.620 0.947
0.750 0.880 0.447
0.250 0.120 0.553
0.250 0.706 0.217
0.750 0.294 0.783
0.750 0.206 0.283
0.250 0.794 0.717
0.250 0.443 0.378
0.750 0.557 0.622
0.750 0.943 0.122
0.250 0.057 0.878
0.250 0.137 0.132
0.750 0.863 0.868
0.750 0.637 0.368
0.250 0.363 0.632
0.250 0.689 0.487
0.750 0.311 0.513
0.750 0.189 0.013
0.250 0.811 0.987
0.250 0.999 0.308
0.750 0.001 0.692
0.750 0.499 0.192
0.250 0.501 0.808

***

La3GaSn PBE-GGA relaxed; DFT total energy = -4.565 eV per atom; offset from the most stable computed form = 20.4 kJ per mole of atoms; SG = No. 221
1.0
-3.668 -2.045 -4.137
4.186 0.749 -4.082
1.942 -5.478 0.986
Sn Ga La
1 1 3
Direct
0.500 0.500 0.500
0.000 0.000 0.000
0.000 0.500 0.000
0.000 0.000 0.500
0.500 0.000 0.000

***

La2GaSn2 PBE-GGA relaxed; DFT total energy = -4.785 eV per atom; offset from the most stable computed form = 11.1 kJ per mole of atoms; SG = No. 36
1.0
4.626 0.000 0.000
0.000 7.219 0.000
-2.313 0.000 9.145
La Ga Sn
4 2 4
Direct
0.985 0.730 0.969
0.790 0.425 0.581
0.210 0.925 0.419
0.015 0.230 0.031
0.408 0.063 0.817
0.592 0.563 0.183
0.414 0.452 0.828
0.832 0.964 0.664
0.168 0.464 0.336
0.586 0.952 0.172

***

LaGaSn3 PBE-GGA relaxed; DFT total energy = -3.348 eV per atom; offset from the most stable computed form = 97.4 kJ per mole of atoms; SG = No. 221
1.0
-1.517 5.763 0.950
-3.428 -0.084 -4.966
-4.729 -1.788 3.295
Sn Ga La
3 1 1
Direct
0.000 0.500 0.000
0.000 0.000 0.500
0.500 0.000 0.000
0.500 0.500 0.500
0.000 0.000 0.000

***

For reference, total magnetic moment by record: 0.0 0.0 0.1 0.0 0.0 0.0 μB/f.u..
For reference, energy of formation by record: -11.66 -9.65 -16.51 -4.67 -14.00 14.85 kcal/mol of atoms.